(1)
Density functional theory data (GGA-PBE) for a geometry-optimized KTa2Mo structure.

Calculated values
The value obtained for the final energy is -8.124 eV/atom. For the density of states at the Fermi level, the calculation gives 4.11 states/eV per cell. The formation energy comes out at 0.78 eV per atom. As for the energy above the most stable polymorph in this dataset: 0.815 eV/f.u.

```
KTa2Mo
1.0
-2.623 0.801 -2.124
2.034 -0.611 -2.742
-2.469 -8.136 -0.018
Ta K Mo
2 1 1
direct
0.500 0.500 0.147 Ta
0.000 0.000 0.990 Ta
0.000 0.000 0.513 K
0.500 0.500 0.849 Mo
```

=====

(2)
Density functional theory data (GGA-PBE) for a geometry-optimized SrFe2Ni structure.

Calculated values
The value obtained for the final energy is -5.567 eV/atom. For the density of states at the Fermi level, the calculation gives 4.91 states/eV per cell. The formation energy comes out at 0.53 eV per atom.

```
SrFe2Ni
1.0
4.149 0.000 0.000
0.000 3.067 0.011
0.000 1.276 5.913
Fe Ni Sr
2 1 1
direct
0.000 0.447 0.399 Fe
0.000 0.053 0.101 Fe
0.500 0.250 0.250 Ni
0.500 0.750 0.750 Sr
```

=====

(3)
Density functional theory data (GGA-PBE) for a geometry-optimized LiGa3Cu3 structure.

Calculated values
The value obtained for the final energy is -3.437 eV/atom. For the density of states at the Fermi level, the calculation gives 3.28 states/eV per cell. The formation energy comes out at -0.11 eV per atom. As for the energy above the most stable polymorph in this dataset: 0.188 eV/f.u.

```
LiGa3Cu3
1.0
6.098 -0.224 -0.001
-0.210 6.099 -0.001
0.001 0.001 5.549
Li Cu Ga
2 6 6
direct
0.320 0.320 0.000 Li
0.680 0.680 0.000 Li
0.658 0.342 0.500 Cu
0.252 0.252 0.500 Cu
0.342 0.658 0.500 Cu
0.755 0.245 0.000 Cu
0.245 0.755 0.000 Cu
0.748 0.748 0.500 Cu
0.500 0.000 0.259 Ga
0.000 0.500 0.741 Ga
0.500 0.000 0.741 Ga
0.000 0.000 0.250 Ga
0.000 0.500 0.259 Ga
0.000 0.000 0.750 Ga
```

=====

(4)
Density functional theory data (GGA-PBE) for a geometry-optimized ErNp4S5 structure.

Calculated values
The value obtained for the final energy is -9.185 eV/atom. For the density of states at the Fermi level, the calculation gives 27.96 states/eV per cell. As for the uncorrected formation energy: -1436 kJ/mol of formula units.

```
ErNp4S5
1.0
-2.001 0.738 3.264
-3.341 -0.658 -1.900
3.347 -13.352 2.740
S Np Er
5 4 1
direct
0.500 0.500 0.000 S
0.901 0.901 0.801 S
0.300 0.300 0.600 S
0.099 0.099 0.199 S
0.700 0.700 0.400 S
0.400 0.400 0.800 Np
0.200 0.200 0.400 Np
0.800 0.800 0.600 Np
0.600 0.600 0.200 Np
0.000 0.000 0.000 Er
```

=====

(5)
Density functional theory data (GGA-PBE) for a geometry-optimized Sm4ErTh2 structure.

Calculated values
The value obtained for the final energy is -5.215 eV/atom. For the density of states at the Fermi level, the calculation gives 11.71 states/eV per cell. The formation energy comes out at 0.25 eV per atom. As for the energy above the most stable polymorph in this dataset: 0.000 eV/f.u.

```
Sm4ErTh2
1.0
-0.634 -4.850 -3.282
8.145 4.047 -7.553
1.717 -1.920 2.504
Th Er Sm
2 1 4
direct
0.000 0.500 0.500 Th
0.500 0.000 0.500 Th
0.000 0.000 0.000 Er
0.500 0.307 0.300 Sm
0.500 0.693 0.700 Sm
0.000 0.244 0.742 Sm
0.000 0.756 0.258 Sm
```

=====

(6)
Density functional theory data (GGA-PBE) for a geometry-optimized Ba2TaTl structure.

Calculated values
The value obtained for the final energy is -3.424 eV/atom. For the density of states at the Fermi level, the calculation gives 7.34 states/eV per cell. The formation energy comes out at 1.09 eV per atom. As for the energy above the most stable polymorph in this dataset: 2.212 eV/f.u.

```
Ba2TaTl
1.0
4.669 0.000 0.000
0.000 4.669 0.000
2.334 2.334 12.080
Ba Ta Tl
4 2 2
direct
0.620 0.125 0.250 Ba
0.875 0.870 0.750 Ba
0.375 0.380 0.750 Ba
0.130 0.625 0.250 Ba
0.250 0.750 0.500 Ta
0.500 0.500 0.000 Ta
0.000 0.000 0.000 Tl
0.750 0.250 0.500 Tl
```